HgPb7 | Alexandria | PBEsol | optimized geometry; ρ = 11.87 g cm⁻³; V = 28.86 Å³ per atom; M_tot = 0.0 μB per formula unit; energy of formation = 0.004 eV per atom
1.0
0.000 4.869 4.869
4.869 0.000 4.869
4.869 4.869 0.000
Hg Pb
1 7
direct
0.000 0.000 0.000 Hg
0.000 0.000 0.500 Pb
0.000 0.500 0.000 Pb
0.000 0.500 0.500 Pb
0.500 0.000 0.000 Pb
0.500 0.000 0.500 Pb
0.500 0.500 0.000 Pb
0.500 0.500 0.500 Pb

***

Hg3Pb4 | Alexandria | PBEsol | optimized geometry; ρ = 12.77 g cm⁻³; V = 26.58 Å³ per atom; M_tot = 0.0 μB per formula unit; energy of formation = 0.008 eV per atom
1.0
-1.839 1.839 13.748
1.839 -1.839 13.748
1.839 1.839 -13.748
Hg Pb
3 4
direct
0.000 0.000 0.000 Hg
0.280 0.280 0.000 Hg
0.720 0.720 0.000 Hg
0.152 0.152 0.000 Pb
0.432 0.432 0.000 Pb
0.568 0.568 0.000 Pb
0.848 0.848 0.000 Pb

***

HgPb | Alexandria | PBEsol | optimized geometry; ρ = 12.82 g cm⁻³; V = 26.42 Å³ per atom; M_tot = 0.0 μB per formula unit; energy of formation = 0.021 eV per atom
1.0
1.728 0.998 5.108
-1.728 0.998 5.108
0.000 -1.995 5.108
Hg Pb
1 1
direct
0.000 0.000 0.000 Hg
0.500 0.500 0.500 Pb

***

Hg3Pb | Alexandria | PBEsol | optimized geometry; ρ = 13.42 g cm⁻³; V = 25.03 Å³ per atom; M_tot = 0.0 μB per formula unit; energy of formation = 0.017 eV per atom
1.0
3.415 0.000 0.000
0.000 5.410 0.000
0.000 0.000 5.419
Hg Pb
3 1
direct
0.000 0.000 0.000 Hg
0.000 0.500 0.497 Hg
0.500 0.500 0.997 Hg
0.500 0.000 0.500 Pb

***

| no. | Fermi-level density of states (states/eV/f.u.) |
| --- | --- |
| 1 | 4.430 |
| 2 | 3.190 |
| 3 | 0.824 |
| 4 | 1.591 |